# MnIrRh3 (PBE-GGA, optimized geometry)
data_MnIrRh3
_cell_length_a 6.3251
_cell_length_b 6.9195
_cell_length_c 6.7225
_cell_angle_alpha 90.00
_cell_angle_beta 90.00
_cell_angle_gamma 90.00
_space_group_name_H-M_alt 'P 1'
_space_group_IT_number 1
_space_group_name_Hall 'P 1'
loop_
_atom_site_label
_atom_site_type_symbol
_atom_site_fract_x
_atom_site_fract_y
_atom_site_fract_z
_atom_site_occupancy
Mn1 Mn 0.2953 0.5694 0.7500 1
Mn2 Mn 0.2047 0.0694 0.2500 1
Mn3 Mn 0.7047 0.4306 0.2500 1
Mn4 Mn 0.7953 0.9306 0.7500 1
Ir1 Ir 0.0000 0.5000 0.0000 1
Ir2 Ir 0.5000 0.0000 0.5000 1
Ir3 Ir 0.5000 0.0000 0.0000 1
Ir4 Ir 0.0000 0.5000 0.5000 1
Rh1 Rh 0.8714 0.1481 0.0555 1
Rh2 Rh 0.6286 0.6481 0.5555 1
Rh3 Rh 0.6286 0.6481 0.9445 1
Rh4 Rh 0.1286 0.8519 0.5555 1
Rh5 Rh 0.1286 0.8519 0.9445 1
Rh6 Rh 0.3714 0.3519 0.4445 1
Rh7 Rh 0.3714 0.3519 0.0555 1
Rh8 Rh 0.8714 0.1481 0.4445 1
Rh9 Rh 0.1496 0.2057 0.7500 1
Rh10 Rh 0.3504 0.7057 0.2500 1
Rh11 Rh 0.8504 0.7943 0.2500 1
Rh12 Rh 0.6496 0.2943 0.7500 1
# * formation energy: 1.051 eV/f.u.
# * total DFT energy (no corrections): -156.14 eV for the cell shown